1.
Here is an optimized crystal structure of Pr2AlGa6Pd from the Alexandria database. Energies are from PBE-GGA.

```
Pr2AlGa6Pd
1.0
-5.362 0.203 -3.533
-4.275 -4.781 0.372
-8.756 4.111 7.684
Ga Pr Al Pd
12 4 2 2
Cartesian
-9.302 -2.764 2.275
-6.569 -1.075 -1.774
-12.282 2.711 4.649
-9.963 0.268 -0.101
-9.091 2.298 2.247
-11.692 -0.611 2.473
-8.373 -3.092 -1.617
-8.430 -0.735 4.623
-10.020 2.625 6.139
-6.701 0.145 2.049
-11.824 0.608 6.296
-6.111 -3.178 -0.127
-14.368 0.233 4.296
-4.025 -0.700 0.226
-6.961 2.285 4.854
-11.432 -2.752 -0.332
-10.401 0.991 4.159
-7.992 -1.458 0.363
0.000 0.000 0.000
-9.196 -0.233 2.261
```

Computed properties:
SG: No. 166
ΔE_f (kcal/mol of atoms): -10.01
D(E_F) (states/eV/atom): 0.488

***

2.
Here is an optimized crystal structure of KTiBi2 from the Alexandria database. Energies are from PBE-GGA.

```
KTiBi2
1.0
3.897 0.000 0.000
1.948 3.375 0.000
1.948 1.125 9.349
Bi Ti K
2 1 1
Cartesian
1.948 1.125 7.492
1.948 1.125 1.854
5.845 3.375 9.338
3.897 2.250 4.687
```

Computed properties:
SG: No. 160
ΔE_f (kcal/mol of atoms): -3.99
D(E_F) (states/eV/atom): 0.301
Polymorph energy (0 for the lowest one) (meV/atom): 0

***

3.
Here is an optimized crystal structure of TaGeNF2 from the Alexandria database. Energies are from PBE-GGA.

```
TaGeNF2
1.0
-0.871 0.004 3.698
1.712 -3.367 0.407
4.260 2.288 1.002
F Ge Ta N
2 1 1 1
Cartesian
-0.436 0.002 1.849
0.856 -1.683 0.203
0.000 0.000 0.000
2.551 -0.537 2.553
2.130 1.144 0.501
```

Computed properties:
Uncorrected formation energy (kJ per mole of atoms): 13.7
SG: No. 123
D(E_F) (states/eV/atom): 0.705
Polymorph energy (0 for the lowest one) (meV/atom): 1120

***

4.
Here is an optimized crystal structure of NbCr2SnSb from the Alexandria database. Energies are from PBE-GGA.

```
NbCr2SnSb
1.0
4.807 0.000 0.000
0.000 5.348 0.000
0.000 0.000 4.807
Sn Sb Nb Cr
1 1 1 2
Cartesian
0.000 2.674 0.000
2.403 2.674 2.403
0.000 0.000 0.000
0.000 0.000 2.403
2.403 0.000 0.000
```

Computed properties:
Uncorrected formation energy (kJ per mole of atoms): 109.1
SG: No. 123
D(E_F) (states/eV/atom): 0.858

***

5.
Here is an optimized crystal structure of PmPrBi2O6 from the Alexandria database. Energies are from PBE-GGA.

```
PmPrBi2O6
1.0
6.192 -0.001 -0.002
-3.097 5.362 0.001
-3.095 -1.785 5.148
O Pm Pr Bi
6 1 1 2
Cartesian
2.337 3.301 0.881
2.254 0.366 0.883
-1.355 1.763 0.884
0.980 2.152 3.448
-1.671 3.514 3.448
-2.263 -0.232 3.449
-3.050 1.812 2.655
0.047 0.024 0.117
0.047 0.025 4.472
0.046 3.598 1.908
```

Computed properties:
Uncorrected formation energy (kJ per mole of atoms): -218.6
SG: No. 146
D(E_F) (states/eV/atom): 0.000

***

6.
Here is an optimized crystal structure of Cs2Tl5Cd3 from the Alexandria database. Energies are from PBE-GGA.

```
Cs2Tl5Cd3
1.0
-7.385 -0.414 1.796
-2.107 -8.797 5.438
-1.682 3.138 9.936
Cs Tl Cd
4 10 6
Cartesian
-8.714 -0.948 12.338
-5.232 -6.674 9.205
-5.942 0.601 7.965
-2.460 -5.125 4.831
-5.014 0.755 11.815
-6.523 -4.468 12.471
-2.154 2.176 7.772
-6.160 -6.828 5.355
-4.651 -1.605 4.699
-9.020 -8.249 9.398
-7.433 -3.140 9.034
-3.741 -2.933 8.136
-0.959 -1.398 3.801
-10.215 -4.675 13.369
-5.539 -0.311 1.347
-1.846 -0.104 0.449
-8.875 -5.403 10.650
-5.076 -2.213 10.876
-2.299 -0.670 6.520
-6.098 -3.860 6.294
```

Computed properties:
SG: No. 72
ΔE_f (kcal/mol of atoms): -1.14
D(E_F) (states/eV/atom): 0.635

***

Question: Among the records above, which one has the lowest D(E_F)?
Answer: PmPrBi2O6